# FeRe3W (PBE, relaxed)
data_FeRe3W
_symmetry_space_group_name_H-M 'P 1'
_symmetry_Int_Tables_number 1
_cell_length_a 4.369
_cell_length_b 4.369
_cell_length_c 4.369
_cell_angle_alpha 90.00
_cell_angle_beta 90.00
_cell_angle_gamma 90.00
loop_
_symmetry_equiv_pos_as_xyz
'x,y,z'
loop_
_atom_site_label
_atom_site_type_symbol
_atom_site_fract_x
_atom_site_fract_y
_atom_site_fract_z
Fe1 Fe 0.000 0.000 0.000
Re1 Re 0.000 0.000 0.500
Re2 Re 0.000 0.500 0.000
Re3 Re 0.500 0.000 0.000
W1 W 0.500 0.500 0.500
# Total moment, μB/cell: 0.00
# Crystal system: cubic
# Excess energy over the best structure of this formula in the dataset, meV per atom: 0
# Energy relative to the elements, kcal/mol of atoms: 36.33
# Symmetry: Pm-3m
# DOS at the Fermi energy, states/eV/atom: 1.77
# E, eV per atom: -10.176

***

# V2NiAg2Te6 (PBE, relaxed)
data_V2NiAg2Te6
_symmetry_space_group_name_H-M 'P 1'
_symmetry_Int_Tables_number 1
_cell_length_a 6.649
_cell_length_b 6.649
_cell_length_c 8.040
_cell_angle_alpha 93.20
_cell_angle_beta 93.20
_cell_angle_gamma 118.65
loop_
_symmetry_equiv_pos_as_xyz
'x,y,z'
loop_
_atom_site_label
_atom_site_type_symbol
_atom_site_fract_x
_atom_site_fract_y
_atom_site_fract_z
V1 V 0.141 0.859 0.000
V2 V 0.859 0.141 0.000
Ni1 Ni 0.500 0.500 0.000
Ag1 Ag 0.366 0.634 0.500
Ag2 Ag 0.634 0.366 0.500
Te1 Te 0.161 0.161 0.788
Te2 Te 0.201 0.536 0.175
Te3 Te 0.464 0.799 0.825
Te4 Te 0.536 0.201 0.175
Te5 Te 0.799 0.464 0.825
Te6 Te 0.839 0.839 0.212
# Total moment, μB/cell: 3.92
# Crystal system: monoclinic
# Raw formation energy, eV per atom: -0.15
# Symmetry: C2/m
# DOS at the Fermi energy, states/eV/atom: 0.35
# E, eV per atom: -4.564

***

# MnTe2P (PBE, relaxed)
data_MnTe2P
_symmetry_space_group_name_H-M 'P 1'
_symmetry_Int_Tables_number 1
_cell_length_a 7.965
_cell_length_b 7.965
_cell_length_c 7.965
_cell_angle_alpha 154.18
_cell_angle_beta 151.76
_cell_angle_gamma 38.63
loop_
_symmetry_equiv_pos_as_xyz
'x,y,z'
loop_
_atom_site_label
_atom_site_type_symbol
_atom_site_fract_x
_atom_site_fract_y
_atom_site_fract_z
Mn1 Mn 0.000 0.000 0.000
Te1 Te 0.331 0.831 0.500
Te2 Te 0.581 0.581 0.000
P1 P 0.878 0.378 0.500
# Total moment, μB/cell: 3.88
# Crystal system: orthorhombic
# Raw formation energy, eV per atom: 0.16
# Symmetry: Imm2
# DOS at the Fermi energy, states/eV/atom: 0.49
# E, eV per atom: -5.057

***

# SiTe2 (PBE, relaxed)
data_SiTe2
_symmetry_space_group_name_H-M 'P 1'
_symmetry_Int_Tables_number 1
_cell_length_a 8.002
_cell_length_b 8.002
_cell_length_c 8.002
_cell_angle_alpha 27.40
_cell_angle_beta 27.40
_cell_angle_gamma 27.40
loop_
_symmetry_equiv_pos_as_xyz
'x,y,z'
loop_
_atom_site_label
_atom_site_type_symbol
_atom_site_fract_x
_atom_site_fract_y
_atom_site_fract_z
Si1 Si 0.000 0.000 0.000
Te1 Te 0.263 0.263 0.263
Te2 Te 0.737 0.737 0.737
# Total moment, μB/cell: 0.00
# Crystal system: trigonal
# Raw formation energy, eV per atom: 0.04
# Symmetry: R-3m
# DOS at the Fermi energy, states/eV/atom: 0.28
# E, eV per atom: -3.865

***

# PmY12Tm3 (PBE, relaxed)
data_PmY12Tm3
_symmetry_space_group_name_H-M 'P 1'
_symmetry_Int_Tables_number 1
_cell_length_a 5.035
_cell_length_b 5.035
_cell_length_c 20.154
_cell_angle_alpha 90.00
_cell_angle_beta 90.00
_cell_angle_gamma 90.00
loop_
_symmetry_equiv_pos_as_xyz
'x,y,z'
loop_
_atom_site_label
_atom_site_type_symbol
_atom_site_fract_x
_atom_site_fract_y
_atom_site_fract_z
Pm1 Pm 0.000 0.000 0.000
Y1 Y 0.000 0.500 0.127
Y2 Y 0.000 0.500 0.376
Y3 Y 0.000 0.500 0.624
Y4 Y 0.000 0.500 0.873
Y5 Y 0.500 0.000 0.127
Y6 Y 0.500 0.000 0.376
Y7 Y 0.500 0.000 0.624
Y8 Y 0.500 0.000 0.873
Y9 Y 0.500 0.500 0.000
Y10 Y 0.500 0.500 0.252
Y11 Y 0.500 0.500 0.500
Y12 Y 0.500 0.500 0.748
Tm1 Tm 0.000 0.000 0.251
Tm2 Tm 0.000 0.000 0.500
Tm3 Tm 0.000 0.000 0.749
# Total moment, μB/cell: 0.00
# Crystal system: tetragonal
# Energy relative to the elements, kcal/mol of atoms: 0.59
# Symmetry: P4/mmm
# DOS at the Fermi energy, states/eV/atom: 1.42
# E, eV per atom: -5.958

***

# Na2TiCl (PBE, relaxed)
data_Na2TiCl
_symmetry_space_group_name_H-M 'P 1'
_symmetry_Int_Tables_number 1
_cell_length_a 7.332
_cell_length_b 7.332
_cell_length_c 7.332
_cell_angle_alpha 96.26
_cell_angle_beta 96.26
_cell_angle_gamma 141.43
loop_
_symmetry_equiv_pos_as_xyz
'x,y,z'
loop_
_atom_site_label
_atom_site_type_symbol
_atom_site_fract_x
_atom_site_fract_y
_atom_site_fract_z
Na1 Na 0.017 0.625 0.892
Na2 Na 0.375 0.267 0.392
Na3 Na 0.733 0.125 0.108
Na4 Na 0.875 0.983 0.608
Ti1 Ti 0.250 0.750 0.500
Ti2 Ti 0.500 0.500 0.000
Cl1 Cl 0.000 0.000 0.000
Cl2 Cl 0.750 0.250 0.500
# Total moment, μB/cell: 5.55
# Crystal system: tetragonal
# Excess energy over the best structure of this formula in the dataset, meV per atom: 0
# Raw formation energy, eV per atom: 0.02
# Symmetry: I-42d
# DOS at the Fermi energy, states/eV/atom: 0.94
# E, eV per atom: -3.074

***

# ErTiCo2 (PBE, relaxed)
data_ErTiCo2
_symmetry_space_group_name_H-M 'P 1'
_symmetry_Int_Tables_number 1
_cell_length_a 4.477
_cell_length_b 4.477
_cell_length_c 3.111
_cell_angle_alpha 90.00
_cell_angle_beta 90.00
_cell_angle_gamma 90.00
loop_
_symmetry_equiv_pos_as_xyz
'x,y,z'
loop_
_atom_site_label
_atom_site_type_symbol
_atom_site_fract_x
_atom_site_fract_y
_atom_site_fract_z
Er1 Er 0.000 0.000 0.000
Ti1 Ti 0.500 0.500 0.000
Co1 Co 0.000 0.500 0.500
Co2 Co 0.500 0.000 0.500
# Total moment, μB/cell: 1.16
# Crystal system: tetragonal
# Excess energy over the best structure of this formula in the dataset, meV per atom: 96
# Energy relative to the elements, kcal/mol of atoms: -4.10
# Symmetry: P4/mmm
# DOS at the Fermi energy, states/eV/atom: 0.55
# E, eV per atom: -6.845

***

# AlTe3N (PBE, relaxed)
data_AlTe3N
_symmetry_space_group_name_H-M 'P 1'
_symmetry_Int_Tables_number 1
_cell_length_a 5.344
_cell_length_b 5.344
_cell_length_c 5.344
_cell_angle_alpha 90.00
_cell_angle_beta 90.00
_cell_angle_gamma 90.00
loop_
_symmetry_equiv_pos_as_xyz
'x,y,z'
loop_
_atom_site_label
_atom_site_type_symbol
_atom_site_fract_x
_atom_site_fract_y
_atom_site_fract_z
Al1 Al 0.000 0.000 0.000
Te1 Te 0.000 0.000 0.500
Te2 Te 0.000 0.500 0.000
Te3 Te 0.500 0.000 0.000
N1 N 0.500 0.500 0.500
# Total moment, μB/cell: 2.01
# Crystal system: cubic
# Excess energy over the best structure of this formula in the dataset, meV per atom: 555
# Raw formation energy, eV per atom: 1.25
# Symmetry: Pm-3m
# DOS at the Fermi energy, states/eV/atom: 0.89
# E, eV per atom: -3.050

***

# MgHg2Rh (PBE, relaxed)
data_MgHg2Rh
_symmetry_space_group_name_H-M 'P 1'
_symmetry_Int_Tables_number 1
_cell_length_a 4.258
_cell_length_b 4.258
_cell_length_c 4.038
_cell_angle_alpha 90.00
_cell_angle_beta 90.00
_cell_angle_gamma 90.00
loop_
_symmetry_equiv_pos_as_xyz
'x,y,z'
loop_
_atom_site_label
_atom_site_type_symbol
_atom_site_fract_x
_atom_site_fract_y
_atom_site_fract_z
Mg1 Mg 0.000 0.000 0.000
Hg1 Hg 0.000 0.500 0.500
Hg2 Hg 0.500 0.000 0.500
Rh1 Rh 0.500 0.500 0.000
# Total moment, μB/cell: 0.00
# Crystal system: tetragonal
# Energy relative to the elements, kcal/mol of atoms: -2.99
# Symmetry: P4/mmm
# DOS at the Fermi energy, states/eV/atom: 0.44
# E, eV per atom: -2.517